# ZnAgSeO (PBE, relaxed)
data_ZnAgSeO
_space_group_name_H-M_alt 'P b c a'
_space_group_IT_number 61
_space_group_name_Hall '-P 2ac 2ab'
_cell_length_a 5.768
_cell_length_b 14.329
_cell_length_c 6.308
_cell_angle_alpha 90.00
_cell_angle_beta 90.00
_cell_angle_gamma 90.00
loop_
_atom_site_label
_atom_site_fract_x
_atom_site_fract_y
_atom_site_fract_z
_atom_site_occupancy
Zn1 0.049 0.225 0.110 1
Ag1 0.228 0.590 0.631 1
Se1 0.000 0.062 0.264 1
O1 0.235 0.222 0.849 1
# Distance to the lowest polymorph of the same formula, eV per atom: 0.0244
# Final energy, eV per atom: -3.661